1.
# Ca2GdTh (PBE-GGA, optimized geometry)
# E_form (meV/atom): 150
# Calculated total energy (eV for the cell shown): -74.71
# Crystal system: trigonal
data_Ca2GdTh
_chemical_formula_sum 'Ca6 Gd3 Th3'
_cell_length_a 3.6112
_cell_length_b 3.6112
_cell_length_c 37.5829
_cell_angle_alpha 90.00
_cell_angle_beta 90.00
_cell_angle_gamma 120.00
_symmetry_space_group_name_H-M 'R -3 m'
_symmetry_Int_Tables_number 166
_symmetry_space_group_name_Hall '-R 3 2"'
loop_
_atom_site_label
_atom_site_type_symbol
_atom_site_fract_x
_atom_site_fract_y
_atom_site_fract_z
Ca1 Ca 0.0000 0.0000 0.2495
Gd1 Gd 0.0000 0.0000 0.0000
Th1 Th 0.0000 0.0000 0.5000

---

2.
# Ce2Dy3TmTe6 (PBE-GGA, optimized geometry)
# Calculated total energy (eV for the cell shown): -129.13
# Crystal system: monoclinic
data_Ce2Dy3TmTe6
_chemical_formula_sum 'Ce4 Dy6 Tm2 Te12'
_cell_length_a 19.183
_cell_length_b 4.354
_cell_length_c 8.859
_cell_angle_alpha 90.00
_cell_angle_beta 103.91
_cell_angle_gamma 90.00
_symmetry_space_group_name_H-M 'C 1 2/m 1'
_symmetry_Int_Tables_number 12
loop_
_symmetry_equiv_pos_as_xyz
'x,y,z'
'-x,-y,-z'
'-x,y,-z'
'x,-y,z'
'x+1/2,y+1/2,z'
'-x+1/2,-y+1/2,-z'
'-x+1/2,y+1/2,-z'
'x+1/2,-y+1/2,z'
loop_
_atom_site_label
_atom_site_type_symbol
_atom_site_fract_x
_atom_site_fract_y
_atom_site_fract_z
Ce1 Ce 0.168 0.000 0.337
Dy1 Dy 0.000 0.500 0.500
Dy2 Dy 0.170 0.000 0.835
Tm1 Tm 0.000 0.500 0.000
Te1 Te 0.003 0.000 0.755
Te2 Te 0.163 0.500 0.590
Te3 Te 0.164 0.500 0.075

---

3.
# BaHfIr2W (PBE-GGA, optimized geometry)
# E_form (meV/atom): 2058
# Calculated total energy (eV for the cell shown): -32.26
# Crystal system: tetragonal
data_BaHfIr2W
_chemical_formula_sum 'Ba1 Hf1 Ir2 W1'
_cell_length_a 4.818
_cell_length_b 4.818
_cell_length_c 5.482
_cell_angle_alpha 90.00
_cell_angle_beta 90.00
_cell_angle_gamma 90.00
_symmetry_space_group_name_H-M 'P 4/m m m'
_symmetry_Int_Tables_number 123
_symmetry_space_group_name_Hall '-P 4 2'
loop_
_atom_site_label
_atom_site_type_symbol
_atom_site_fract_x
_atom_site_fract_y
_atom_site_fract_z
Ba1 Ba 0.000 0.000 0.000
Hf1 Hf 0.000 0.000 0.500
Ir1 Ir 0.000 0.500 0.500
W1 W 0.500 0.500 0.000

---

4.
# CeMgIn3Rh (PBE-GGA, optimized geometry)
# E_form (meV/atom): -475
# Calculated total energy (eV for the cell shown): -51.89
# Crystal system: orthorhombic
data_CeMgIn3Rh
_chemical_formula_sum 'Ce2 Mg2 In6 Rh2'
_cell_length_a 8.327
_cell_length_b 4.409
_cell_length_c 7.375
_cell_angle_alpha 90.00
_cell_angle_beta 90.00
_cell_angle_gamma 90.00
_symmetry_space_group_name_H-M 'P m m a'
_symmetry_Int_Tables_number 51
loop_
_symmetry_equiv_pos_as_xyz
'x,y,z'
'-x,-y,-z'
'-x+1/2,-y,z'
'x+1/2,y,-z'
'x+1/2,-y,-z'
'-x+1/2,y,z'
'-x,y,-z'
'x,-y,z'
loop_
_atom_site_label
_atom_site_type_symbol
_atom_site_fract_x
_atom_site_fract_y
_atom_site_fract_z
Ce1 Ce 0.250 0.000 0.100
Mg1 Mg 0.000 0.000 0.500
In1 In 0.055 0.500 0.807
In2 In 0.250 0.500 0.442
Rh1 Rh 0.250 0.000 0.718